# 1
# Th2OsCl | Alexandria via LeMat-Bulk | PBE | optimized geometry
data_Th2OsCl
_chemical_formula_sum 'Th6 Os3 Cl3'
_cell_length_a 4.1640
_cell_length_b 4.1640
_cell_length_c 23.4245
_cell_angle_alpha 90.00
_cell_angle_beta 90.00
_cell_angle_gamma 120.00
_symmetry_space_group_name_H-M 'R 3 m'
_symmetry_Int_Tables_number 160
_symmetry_space_group_name_Hall 'R 3 -2"'
loop_
_atom_site_label
_atom_site_fract_x
_atom_site_fract_y
_atom_site_fract_z
_atom_site_occupancy
Th1 0.0000 0.0000 0.0000 1
Th2 0.0000 0.0000 0.2076 1
Os1 0.0000 0.0000 0.6042 1
Cl1 0.0000 0.0000 0.7780 1
# offset from the most stable computed form	35	meV per atom
# energy relative to the elements, uncorrected	-0.8641	eV/atom
# Fermi-level density of states	9.881	states/eV per cell
# total DFT energy (no corrections)	-7.84	eV/atom

---

# 2
# AgGeSeN2 | Alexandria via LeMat-Bulk | PBE | optimized geometry
data_AgGeSeN2
_chemical_formula_sum 'Ag1 Ge1 Se1 N2'
_cell_length_a 3.753
_cell_length_b 3.753
_cell_length_c 5.891
_cell_angle_alpha 90.00
_cell_angle_beta 90.00
_cell_angle_gamma 90.00
_symmetry_space_group_name_H-M 'P 4/m m m'
_symmetry_Int_Tables_number 123
_symmetry_space_group_name_Hall '-P 4 2'
loop_
_atom_site_label
_atom_site_fract_x
_atom_site_fract_y
_atom_site_fract_z
_atom_site_occupancy
Ag1 0.000 0.000 0.000 1
Ge1 0.500 0.500 0.500 1
Se1 0.500 0.500 0.000 1
N1 0.000 0.500 0.500 1
# offset from the most stable computed form	0	meV per atom
# energy relative to the elements, uncorrected	1.1218	eV/atom
# Fermi-level density of states	3.210	states/eV per cell
# total DFT energy (no corrections)	-4.40	eV/atom

---

# 3
# HBr2F8 | Alexandria via LeMat-Bulk | PBE | optimized geometry
data_HBr2F8
_chemical_formula_sum 'H1 Br2 F8'
_cell_length_a 5.553
_cell_length_b 5.679
_cell_length_c 5.680
_cell_angle_alpha 81.40
_cell_angle_beta 85.65
_cell_angle_gamma 85.15
_symmetry_space_group_name_H-M 'P -1'
_symmetry_Int_Tables_number 2
loop_
_symmetry_equiv_pos_as_xyz
'x,y,z'
'-x,-y,-z'
loop_
_atom_site_label
_atom_site_fract_x
_atom_site_fract_y
_atom_site_fract_z
_atom_site_occupancy
H1 0.000 0.000 0.000 1
Br1 0.237 0.688 0.686 1
F1 0.191 0.932 0.932 1
F2 0.247 0.434 0.934 1
F3 0.248 0.937 0.433 1
F4 0.260 0.476 0.472 1
# Fermi-level density of states	4.243	states/eV per cell
# total DFT energy (no corrections)	-2.97	eV/atom

---

# 4
# NaTeSCl2 | Alexandria via LeMat-Bulk | PBE | optimized geometry
data_NaTeSCl2
_chemical_formula_sum 'Na1 Te1 S1 Cl2'
_cell_length_a 5.398
_cell_length_b 5.398
_cell_length_c 5.198
_cell_angle_alpha 90.00
_cell_angle_beta 90.00
_cell_angle_gamma 90.00
_symmetry_space_group_name_H-M 'P 4/m m m'
_symmetry_Int_Tables_number 123
_symmetry_space_group_name_Hall '-P 4 2'
loop_
_atom_site_label
_atom_site_fract_x
_atom_site_fract_y
_atom_site_fract_z
_atom_site_occupancy
Na1 0.000 0.000 0.000 1
Te1 0.500 0.500 0.500 1
S1 0.500 0.500 0.000 1
Cl1 0.000 0.500 0.500 1
# offset from the most stable computed form	0	meV per atom
# energy relative to the elements, uncorrected	-0.5073	eV/atom
# Fermi-level density of states	1.870	states/eV per cell
# total DFT energy (no corrections)	-2.96	eV/atom

---

# 5
# NaSm2Al | Alexandria via LeMat-Bulk | PBE | optimized geometry
data_NaSm2Al
_chemical_formula_sum 'Na1 Sm2 Al1'
_cell_length_a 3.538
_cell_length_b 3.538
_cell_length_c 9.505
_cell_angle_alpha 90.00
_cell_angle_beta 90.00
_cell_angle_gamma 90.00
_symmetry_space_group_name_H-M 'P 4/m m m'
_symmetry_Int_Tables_number 123
_symmetry_space_group_name_Hall '-P 4 2'
loop_
_atom_site_label
_atom_site_fract_x
_atom_site_fract_y
_atom_site_fract_z
_atom_site_occupancy
Na1 0.000 0.000 0.000 1
Sm1 0.500 0.500 0.298 1
Al1 0.000 0.000 0.500 1
# offset from the most stable computed form	0	meV per atom
# Fermi-level density of states	3.421	states/eV per cell
# formation enthalpy at 0 K	-0.3	eV/f.u.
# total DFT energy (no corrections)	-3.70	eV/atom

---

# 6
# SiPtBr | Alexandria via LeMat-Bulk | PBE | optimized geometry
data_SiPtBr
_chemical_formula_sum 'Si1 Pt1 Br1'
_cell_length_a 3.6428
_cell_length_b 3.6428
_cell_length_c 5.3473
_cell_angle_alpha 90.00
_cell_angle_beta 90.00
_cell_angle_gamma 120.00
_symmetry_space_group_name_H-M 'P 3 m 1'
_symmetry_Int_Tables_number 156
loop_
_symmetry_equiv_pos_as_xyz
'x,y,z'
'-y,x-y,z'
'-x+y,-x,z'
'-y,-x,z'
'-x+y,y,z'
'x,x-y,z'
loop_
_atom_site_label
_atom_site_fract_x
_atom_site_fract_y
_atom_site_fract_z
_atom_site_occupancy
Si1 0.0000 0.0000 0.0000 1
Pt1 0.3333 0.6667 0.7982 1
Br1 0.6667 0.3333 0.4220 1
# offset from the most stable computed form	208	meV per atom
# energy relative to the elements, uncorrected	-0.2059	eV/atom
# Fermi-level density of states	1.274	states/eV per cell
# total DFT energy (no corrections)	-4.58	eV/atom

---

# 7
# Hg3SeS | Alexandria via LeMat-Bulk | PBE | optimized geometry
data_Hg3SeS
_chemical_formula_sum 'Hg3 Se1 S1'
_cell_length_a 5.180
_cell_length_b 5.180
_cell_length_c 5.180
_cell_angle_alpha 90.00
_cell_angle_beta 90.00
_cell_angle_gamma 90.00
_symmetry_space_group_name_H-M 'P m -3 m'
_symmetry_Int_Tables_number 221
_symmetry_space_group_name_Hall '-P 4 2 3'
loop_
_atom_site_label
_atom_site_fract_x
_atom_site_fract_y
_atom_site_fract_z
_atom_site_occupancy
Hg1 0.000 0.000 0.500 1
Se1 0.500 0.500 0.500 1
S1 0.000 0.000 0.000 1
# offset from the most stable computed form	399	meV per atom
# energy relative to the elements, uncorrected	0.3081	eV/atom
# Fermi-level density of states	1.447	states/eV per cell
# total DFT energy (no corrections)	-1.40	eV/atom

---

# 8
# ScSiRu | Alexandria via LeMat-Bulk | PBE | optimized geometry
data_ScSiRu
_chemical_formula_sum 'Sc2 Si2 Ru2'
_cell_length_a 3.073
_cell_length_b 3.073
_cell_length_c 10.033
_cell_angle_alpha 90.00
_cell_angle_beta 90.00
_cell_angle_gamma 90.00
_symmetry_space_group_name_H-M 'I 4 m m'
_symmetry_Int_Tables_number 107
_symmetry_space_group_name_Hall 'I 4 -2'
loop_
_atom_site_label
_atom_site_fract_x
_atom_site_fract_y
_atom_site_fract_z
_atom_site_occupancy
Sc1 0.000 0.000 0.000 1
Si1 0.000 0.000 0.697 1
Ru1 0.000 0.000 0.310 1
# energy relative to the elements, uncorrected	-0.6969	eV/atom
# Fermi-level density of states	3.232	states/eV per cell
# total DFT energy (no corrections)	-7.71	eV/atom

---

# 9
# CrCo3Se | Alexandria via LeMat-Bulk | PBE | optimized geometry
data_CrCo3Se
_chemical_formula_sum 'Cr1 Co3 Se1'
_cell_length_a 4.222
_cell_length_b 4.222
_cell_length_c 4.222
_cell_angle_alpha 90.00
_cell_angle_beta 90.00
_cell_angle_gamma 90.00
_symmetry_space_group_name_H-M 'P m -3 m'
_symmetry_Int_Tables_number 221
_symmetry_space_group_name_Hall '-P 4 2 3'
loop_
_atom_site_label
_atom_site_fract_x
_atom_site_fract_y
_atom_site_fract_z
_atom_site_occupancy
Cr1 0.000 0.000 0.000 1
Co1 0.000 0.000 0.500 1
Se1 0.500 0.500 0.500 1
# offset from the most stable computed form	416	meV per atom
# energy relative to the elements, uncorrected	1.2148	eV/atom
# Fermi-level density of states	9.226	states/eV per cell
# total DFT energy (no corrections)	-5.67	eV/atom

---

# 10
# LiLaBe | Alexandria via LeMat-Bulk | PBE | optimized geometry
data_LiLaBe
_chemical_formula_sum 'Li4 La4 Be4'
_cell_length_a 6.812
_cell_length_b 6.812
_cell_length_c 6.812
_cell_angle_alpha 90.00
_cell_angle_beta 90.00
_cell_angle_gamma 90.00
_symmetry_space_group_name_H-M 'F -4 3 m'
_symmetry_Int_Tables_number 216
_symmetry_space_group_name_Hall 'F -4 2 3'
loop_
_atom_site_label
_atom_site_fract_x
_atom_site_fract_y
_atom_site_fract_z
_atom_site_occupancy
Li1 0.000 0.000 0.000 1
La1 0.250 0.250 0.750 1
Be1 0.000 0.000 0.500 1
# offset from the most stable computed form	602	meV per atom
# Fermi-level density of states	16.646	states/eV per cell
# formation enthalpy at 0 K	2.5	eV/f.u.
# total DFT energy (no corrections)	-2.68	eV/atom

---

# 11
# LaEuZnPt | Alexandria via LeMat-Bulk | PBE | optimized geometry
data_LaEuZnPt
_chemical_formula_sum 'La4 Eu4 Zn4 Pt4'
_cell_length_a 7.351
_cell_length_b 7.351
_cell_length_c 7.351
_cell_angle_alpha 90.00
_cell_angle_beta 90.00
_cell_angle_gamma 90.00
_symmetry_space_group_name_H-M 'F -4 3 m'
_symmetry_Int_Tables_number 216
_symmetry_space_group_name_Hall 'F -4 2 3'
loop_
_atom_site_label
_atom_site_fract_x
_atom_site_fract_y
_atom_site_fract_z
_atom_site_occupancy
La1 0.000 0.000 0.000 1
Eu1 0.000 0.000 0.500 1
Zn1 0.250 0.250 0.250 1
Pt1 0.250 0.250 0.750 1
# Fermi-level density of states	27.151	states/eV per cell
# formation enthalpy at 0 K	-2.6	eV/f.u.
# total DFT energy (no corrections)	-6.29	eV/atom

---

# 12
# ZrSbPdPt | Alexandria via LeMat-Bulk | PBE | optimized geometry
data_ZrSbPdPt
_chemical_formula_sum 'Zr4 Sb4 Pd4 Pt4'
_cell_length_a 6.707
_cell_length_b 6.707
_cell_length_c 6.707
_cell_angle_alpha 90.00
_cell_angle_beta 90.00
_cell_angle_gamma 90.00
_symmetry_space_group_name_H-M 'F -4 3 m'
_symmetry_Int_Tables_number 216
_symmetry_space_group_name_Hall 'F -4 2 3'
loop_
_atom_site_label
_atom_site_fract_x
_atom_site_fract_y
_atom_site_fract_z
_atom_site_occupancy
Zr1 0.000 0.000 0.000 1
Sb1 0.000 0.000 0.500 1
Pd1 0.250 0.250 0.750 1
Pt1 0.250 0.250 0.250 1
# energy relative to the elements, uncorrected	-0.6332	eV/atom
# Fermi-level density of states	8.075	states/eV per cell
# total DFT energy (no corrections)	-6.61	eV/atom